1.
# Pr6Ho2Er3 | Alexandria | GGA-PBE | relaxed
# - Magnetization: 0.000 μB/cell
# - Raw total energy: -4.38 eV per atom
# - Energy of formation from the pure elements: 0.3053 eV/atom
data_Pr6Ho2Er3
_cell_length_a 17.452
_cell_length_b 17.452
_cell_length_c 17.452
_cell_angle_alpha 164.33
_cell_angle_beta 164.33
_cell_angle_gamma 22.24
_symmetry_space_group_name_H-M 'P 1'
_symmetry_Int_Tables_number 1
loop_
_symmetry_equiv_pos_as_xyz
'x,y,z'
loop_
_atom_site_label
_atom_site_fract_x
_atom_site_fract_y
_atom_site_fract_z
Pr1 0.119 0.619 0.500
Pr2 0.207 0.207 0.000
Pr3 0.381 0.881 0.500
Pr4 0.619 0.119 0.500
Pr5 0.793 0.793 0.000
Pr6 0.881 0.381 0.500
Ho1 0.045 0.045 0.000
Ho2 0.955 0.955 0.000
Er1 0.307 0.307 0.000
Er2 0.500 0.500 0.000
Er3 0.693 0.693 0.000



2.
# Pr5Ho2Er5 | Alexandria | GGA-PBE | relaxed
# - Magnetization: 0.000 μB/cell
# - Raw total energy: -4.63 eV per atom
# - Energy of formation from the pure elements: 0.0214 eV/atom
data_Pr5Ho2Er5
_cell_length_a 8.053
_cell_length_b 8.053
_cell_length_c 11.380
_cell_angle_alpha 115.19
_cell_angle_beta 115.19
_cell_angle_gamma 36.71
_symmetry_space_group_name_H-M 'P 1'
_symmetry_Int_Tables_number 1
loop_
_symmetry_equiv_pos_as_xyz
'x,y,z'
loop_
_atom_site_label
_atom_site_fract_x
_atom_site_fract_y
_atom_site_fract_z
Pr1 0.000 0.000 0.000
Pr2 0.081 0.081 0.748
Pr3 0.249 0.249 0.251
Pr4 0.751 0.751 0.749
Pr5 0.919 0.919 0.252
Ho1 0.167 0.167 0.499
Ho2 0.833 0.833 0.501
Er1 0.333 0.333 0.000
Er2 0.415 0.415 0.747
Er3 0.500 0.500 0.500
Er4 0.585 0.585 0.253
Er5 0.667 0.667 0.000



3.
# Pr5HoEr2 | Alexandria | GGA-PBE | relaxed
# - Magnetization: 0.753 μB/cell
# - Raw total energy: -4.58 eV per atom
# - Energy of formation from the pure elements: 0.1182 eV/atom
data_Pr5HoEr2
_cell_length_a 9.168
_cell_length_b 9.168
_cell_length_c 9.168
_cell_angle_alpha 119.17
_cell_angle_beta 119.17
_cell_angle_gamma 91.44
_symmetry_space_group_name_H-M 'P 1'
_symmetry_Int_Tables_number 1
loop_
_symmetry_equiv_pos_as_xyz
'x,y,z'
loop_
_atom_site_label
_atom_site_fract_x
_atom_site_fract_y
_atom_site_fract_z
Pr1 0.000 0.000 0.000
Pr2 0.014 0.514 0.200
Pr3 0.186 0.986 0.500
Pr4 0.314 0.814 0.800
Pr5 0.486 0.686 0.500
Pr6 0.500 0.500 0.000
Pr7 0.514 0.314 0.500
Pr8 0.686 0.186 0.200
Pr9 0.814 0.014 0.500
Pr10 0.986 0.486 0.800
Ho1 0.250 0.250 0.000
Ho2 0.750 0.750 0.000
Er1 0.145 0.355 0.500
Er2 0.355 0.855 0.209
Er3 0.645 0.145 0.791
Er4 0.855 0.645 0.500



4.
# Pr4Ho7Er | Alexandria | GGA-PBE | relaxed
# - Magnetization: 0.000 μB/cell
# - Raw total energy: -4.36 eV per atom
# - Energy of formation from the pure elements: 0.2829 eV/atom
data_Pr4Ho7Er
_cell_length_a 6.702
_cell_length_b 6.702
_cell_length_c 12.855
_cell_angle_alpha 113.79
_cell_angle_beta 113.79
_cell_angle_gamma 52.29
_symmetry_space_group_name_H-M 'P 1'
_symmetry_Int_Tables_number 1
loop_
_symmetry_equiv_pos_as_xyz
'x,y,z'
loop_
_atom_site_label
_atom_site_fract_x
_atom_site_fract_y
_atom_site_fract_z
Pr1 0.088 0.088 0.293
Pr2 0.364 0.364 0.224
Pr3 0.636 0.636 0.776
Pr4 0.912 0.912 0.707
Ho1 0.000 0.000 0.000
Ho2 0.169 0.169 0.634
Ho3 0.210 0.210 0.918
Ho4 0.368 0.368 0.512
Ho5 0.632 0.632 0.488
Ho6 0.790 0.790 0.082
Ho7 0.831 0.831 0.366
Er1 0.500 0.500 0.000



5.
# PrHo2Er12 | Alexandria | GGA-PBE | relaxed
# - Magnetization: 0.000 μB/cell
# - Raw total energy: -4.20 eV per atom
# - Energy of formation from the pure elements: 0.3772 eV/atom
data_PrHo2Er12
_cell_length_a 6.376
_cell_length_b 6.376
_cell_length_c 24.646
_cell_angle_alpha 90.00
_cell_angle_beta 90.00
_cell_angle_gamma 90.00
_symmetry_space_group_name_H-M 'P 1'
_symmetry_Int_Tables_number 1
loop_
_symmetry_equiv_pos_as_xyz
'x,y,z'
loop_
_atom_site_label
_atom_site_fract_x
_atom_site_fract_y
_atom_site_fract_z
Pr1 0.250 0.750 0.000
Pr2 0.750 0.250 0.000
Ho1 0.250 0.750 0.272
Ho2 0.250 0.750 0.728
Ho3 0.750 0.250 0.272
Ho4 0.750 0.250 0.728
Er1 0.001 0.501 0.115
Er2 0.001 0.999 0.885
Er3 0.081 0.581 0.561
Er4 0.081 0.919 0.439
Er5 0.250 0.250 0.216
Er6 0.250 0.250 0.340
Er7 0.250 0.250 0.660
Er8 0.250 0.250 0.784
Er9 0.419 0.581 0.439
Er10 0.419 0.919 0.561
Er11 0.499 0.501 0.885
Er12 0.499 0.999 0.115
Er13 0.501 0.001 0.885
Er14 0.501 0.499 0.115
Er15 0.581 0.081 0.439
Er16 0.581 0.419 0.561
Er17 0.750 0.750 0.216
Er18 0.750 0.750 0.340
Er19 0.750 0.750 0.660
Er20 0.750 0.750 0.784
Er21 0.919 0.081 0.561
Er22 0.919 0.419 0.439
Er23 0.999 0.001 0.115
Er24 0.999 0.499 0.885



6.
# Pr5Ho4Er3 | Alexandria | GGA-PBE | relaxed
# - Magnetization: 0.006 μB/cell
# - Raw total energy: -4.40 eV per atom
# - Energy of formation from the pure elements: 0.2550 eV/atom
data_Pr5Ho4Er3
_cell_length_a 6.961
_cell_length_b 6.961
_cell_length_c 10.944
_cell_angle_alpha 95.04
_cell_angle_beta 95.04
_cell_angle_gamma 49.30
_symmetry_space_group_name_H-M 'P 1'
_symmetry_Int_Tables_number 1
loop_
_symmetry_equiv_pos_as_xyz
'x,y,z'
loop_
_atom_site_label
_atom_site_fract_x
_atom_site_fract_y
_atom_site_fract_z
Pr1 0.000 0.000 0.000
Pr2 0.351 0.351 0.734
Pr3 0.399 0.399 0.409
Pr4 0.601 0.601 0.591
Pr5 0.649 0.649 0.266
Ho1 0.078 0.078 0.755
Ho2 0.147 0.147 0.449
Ho3 0.853 0.853 0.551
Ho4 0.922 0.922 0.245
Er1 0.256 0.256 0.105
Er2 0.500 0.500 0.000
Er3 0.744 0.744 0.895